1.
A plane-wave DFT calculation with GGA-PBE was carried out for Ce4Mg7Ge6 after structural relaxation.

```
Ce4Mg7Ge6
1.0
8.308 -2.205 0.000
8.308 2.205 0.000
-6.705 0.000 10.598
Ce Mg Ge
4 7 6
direct
0.127 0.127 0.335
0.232 0.232 0.109
0.768 0.768 0.891
0.873 0.873 0.665
0.000 0.000 0.000
0.190 0.190 0.653
0.437 0.437 0.105
0.460 0.460 0.362
0.540 0.540 0.638
0.563 0.563 0.895
0.810 0.810 0.347
0.111 0.111 0.810
0.349 0.349 0.479
0.378 0.378 0.847
0.622 0.622 0.153
0.651 0.651 0.521
0.889 0.889 0.190
```

Output
formation energy = -500 meV per atom



2.
A plane-wave DFT calculation with GGA-PBE was carried out for NaAlSn after structural relaxation.

```
NaAlSn
1.0
5.427 0.000 0.000
-2.714 4.700 0.000
0.000 0.000 10.269
Na Al Sn
2 2 2
direct
0.333 0.667 0.250
0.667 0.333 0.750
0.000 0.000 0.250
0.000 0.000 0.750
0.000 0.000 0.000
0.000 0.000 0.500
```

Output
formation energy = 625 meV per atom



3.
A plane-wave DFT calculation with GGA-PBE was carried out for BaSr2Li after structural relaxation.

```
BaSr2Li
1.0
0.000 4.594 4.594
4.594 0.000 4.594
4.594 4.594 0.000
Ba Sr Li
1 2 1
direct
0.000 0.000 0.000
0.250 0.250 0.250
0.750 0.750 0.750
0.500 0.500 0.500
```

Output
formation energy = 116 meV per atom



4.
A plane-wave DFT calculation with GGA-PBE was carried out for SrSmCuGe after structural relaxation.

```
SrSmCuGe
1.0
0.000 3.691 3.691
3.691 0.000 3.691
3.691 3.691 0.000
Sr Sm Cu Ge
1 1 1 1
direct
0.000 0.000 0.000
0.500 0.500 0.500
0.250 0.250 0.250
0.750 0.750 0.750
```

Output
formation energy = -355 meV per atom



5.
A plane-wave DFT calculation with GGA-PBE was carried out for Na2Sr2Al2PO4F9 after structural relaxation.

```
Na2Sr2Al2PO4F9
1.0
5.328 0.000 0.000
0.000 10.641 0.000
-4.993 0.000 17.969
Na Sr Al P O F
8 8 8 4 16 36
direct
0.004 0.224 0.019
0.004 0.276 0.519
0.331 0.743 0.365
0.331 0.757 0.865
0.669 0.243 0.135
0.669 0.257 0.635
0.996 0.724 0.481
0.996 0.776 0.981
0.144 0.537 0.143
0.144 0.963 0.643
0.175 0.539 0.667
0.175 0.961 0.167
0.825 0.039 0.833
0.825 0.461 0.333
0.856 0.037 0.357
0.856 0.463 0.857
0.287 0.248 0.741
0.287 0.252 0.241
0.500 0.000 0.000
0.500 0.000 0.500
0.500 0.500 0.000
0.500 0.500 0.500
0.713 0.748 0.759
0.713 0.752 0.259
0.379 0.250 0.410
0.379 0.250 0.910
0.621 0.750 0.090
0.621 0.750 0.590
0.082 0.245 0.900
0.082 0.255 0.400
0.452 0.200 0.839
0.452 0.300 0.339
0.471 0.672 0.522
0.471 0.828 0.022
0.487 0.114 0.421
0.487 0.386 0.921
0.513 0.614 0.079
0.513 0.886 0.579
0.529 0.172 0.978
0.529 0.328 0.478
0.548 0.700 0.661
0.548 0.800 0.161
0.918 0.745 0.600
0.918 0.755 0.100
0.027 0.132 0.734
0.027 0.368 0.234
0.098 0.124 0.265
0.098 0.376 0.765
0.138 0.213 0.144
0.138 0.287 0.644
0.230 0.590 0.937
0.230 0.910 0.437
0.250 0.037 0.047
0.250 0.463 0.547
0.254 0.533 0.411
0.254 0.967 0.911
0.267 0.090 0.536
0.267 0.410 0.036
0.459 0.635 0.262
0.459 0.865 0.762
0.481 0.125 0.711
0.481 0.375 0.211
0.519 0.625 0.789
0.519 0.875 0.289
0.541 0.135 0.238
0.541 0.365 0.738
0.733 0.590 0.964
0.733 0.910 0.464
0.746 0.033 0.089
0.746 0.467 0.589
0.750 0.537 0.453
0.750 0.963 0.953
0.770 0.090 0.563
0.770 0.410 0.063
0.862 0.713 0.356
0.862 0.787 0.856
0.902 0.624 0.235
0.902 0.876 0.735
0.973 0.632 0.766
0.973 0.868 0.266
```

Output
formation energy (no corrections) = -3.278 eV per atom



6.
A plane-wave DFT calculation with GGA-PBE was carried out for Cu2GeN after structural relaxation.

```
Cu2GeN
1.0
-2.542 2.542 4.655
2.542 -2.542 4.655
2.542 2.542 -4.655
Cu Ge N
4 2 2
direct
0.014 0.625 0.889
0.375 0.264 0.389
0.736 0.125 0.111
0.875 0.986 0.611
0.250 0.750 0.500
0.500 0.500 0.000
0.000 0.000 0.000
0.750 0.250 0.500
```

Output
formation energy (no corrections) = 0.529 eV per atom



| no. | size of the total moment (μB/atom) |
| --- | --- |
| 1 | 0.23 |
| 2 | 0.00 |
| 3 | 0.00 |
| 4 | 0.00 |
| 5 | 0.00 |
| 6 | 0.00 |